1.
Material: Tc3HgP
Method: DFT, PBE
State: relaxed

Cell: 4.416 4.416 4.416 Å, 90.00 90.00 90.00°
Sites, in units of the cell vectors:
Tc1 0.500 0.000 0.000
Tc2 0.000 0.000 0.500
Tc3 0.000 0.500 0.000
P1 0.000 0.000 0.000
Hg1 0.500 0.500 0.500

Properties
E = -6.856 eV/atom
Space-group type = Pm-3m (221)
Total moment = 1.22 μB per cell
Crystal system = cubic
E_form = 0.506 eV/atom

***

2.
Material: HgTeP2
Method: DFT, PBE
State: relaxed

Cell: 3.939 2.916 8.449 Å, 111.73 90.00 90.00°
Sites, in units of the cell vectors:
Te1 0.500 0.250 0.250
P1 0.000 0.517 0.506
P2 0.000 0.983 0.994
Hg1 0.500 0.750 0.750

Properties
E = -3.143 eV/atom
Space-group type = P2/m (10)
Formation energy without anion corrections = 1.7 eV/f.u.
Total moment = 0.00 μB per cell
Crystal system = monoclinic

***

3.
Material: HgTeP2
Method: DFT, PBE
State: relaxed

Cell: 3.197 6.304 9.482 Å, 34.43 90.00 90.00°
Sites, in units of the cell vectors:
P1 0.500 0.285 0.125
P2 0.000 0.010 0.154
Te1 0.000 0.334 0.620
Hg1 0.500 0.871 0.601

Properties
E = -3.459 eV/atom
Space-group type = Pm (6)
Formation energy without anion corrections = 0.4 eV/f.u.
Total moment = 0.00 μB per cell
Crystal system = monoclinic

***

Number 1: D(E_F) 6.1 states/eV/cell, distance to the lowest polymorph of the same formula 0.0 meV per atom, density 10.1 Mg/m³. Number 2: D(E_F) 1.6 states/eV/cell, distance to the lowest polymorph of the same formula 315.3 meV per atom, density 7.2 Mg/m³. Number 3: D(E_F) 0.8 states/eV/cell, distance to the lowest polymorph of the same formula 0.0 meV per atom, density 6.0 Mg/m³.